# 1
Material: Nb2CrPd
Method: DFT, PBE-GGA
State: relaxed

Calculated values
Formation enthalpy at 0 K, eV per atom: 0.6515
Symmetry: I-42d (122)

POSCAR file:
```
Nb2CrPd
1.0
-1.9357 1.9357 9.2437
1.9357 -1.9357 9.2437
1.9357 1.9357 -9.2437
Nb Cr Pd
4 2 2
Direct
0.1133 0.6250 0.9883 Nb
0.3750 0.3633 0.4883 Nb
0.6367 0.1250 0.0117 Nb
0.8750 0.8867 0.5117 Nb
0.0000 0.0000 0.0000 Cr
0.7500 0.2500 0.5000 Cr
0.2500 0.7500 0.5000 Pd
0.5000 0.5000 0.0000 Pd
```



# 2
Material: Sb2TeSe2
Method: DFT, PBE-GGA
State: relaxed

Calculated values
Raw formation energy, eV/atom: 0.200
Symmetry: P4/mbm (127)

POSCAR file:
```
Sb2TeSe2
1.0
8.9172 0.0000 0.0000
0.0000 8.9172 0.0000
0.0000 0.0000 3.6270
Sb Te Se
4 2 4
Direct
0.2226 0.2774 0.0000 Sb
0.2774 0.7774 0.0000 Sb
0.7226 0.2226 0.0000 Sb
0.7774 0.7226 0.0000 Sb
0.0000 0.0000 0.5000 Te
0.5000 0.5000 0.5000 Te
0.1241 0.6241 0.5000 Se
0.3759 0.1241 0.5000 Se
0.6241 0.8759 0.5000 Se
0.8759 0.3759 0.5000 Se
```



# 3
Material: BaAlZn2Ga4
Method: DFT, PBE-GGA
State: relaxed

Calculated values
Formation enthalpy at 0 K, eV per atom: -0.1517
Symmetry: R-3m (166)

POSCAR file:
```
BaAlZn2Ga4
1.0
2.3040 1.3302 9.4154
-2.3040 1.3302 9.4154
0.0000 -2.6605 9.4154
Ba Al Zn Ga
1 1 2 4
Direct
0.0000 0.0000 0.0000 Ba
0.5000 0.5000 0.5000 Al
0.2364 0.2364 0.2364 Zn
0.7636 0.7636 0.7636 Zn
0.1323 0.1323 0.1323 Ga
0.4081 0.4081 0.4081 Ga
0.5919 0.5919 0.5919 Ga
0.8677 0.8677 0.8677 Ga
```



# 4
Material: LiSmAu4
Method: DFT, PBE-GGA
State: relaxed

Calculated values
Formation enthalpy at 0 K, eV per atom: -0.5555
Symmetry: Cmmm (65)

POSCAR file:
```
LiSmAu4
1.0
2.6239 -4.4929 0.0000
2.6239 4.4929 0.0000
0.0000 0.0000 5.1574
Li Sm Au
1 1 4
Direct
0.0000 0.0000 0.0000 Li
0.5000 0.5000 0.5000 Sm
0.1622 0.8378 0.5000 Au
0.3246 0.6754 0.0000 Au
0.6754 0.3246 0.0000 Au
0.8378 0.1622 0.5000 Au
```



# 5
Material: SrGdPb2
Method: DFT, PBE-GGA
State: relaxed

Calculated values
Formation enthalpy at 0 K, eV per atom: -0.4322
Symmetry: Fm-3m (225)

POSCAR file:
```
SrGdPb2
1.0
0.0000 4.0014 4.0014
4.0014 0.0000 4.0014
4.0014 4.0014 0.0000
Sr Gd Pb
1 1 2
Direct
0.0000 0.0000 0.0000 Sr
0.5000 0.5000 0.5000 Gd
0.2500 0.2500 0.2500 Pb
0.7500 0.7500 0.7500 Pb
```



# 6
Material: Rb3ZnBi2
Method: DFT, PBE-GGA
State: relaxed

Calculated values
Formation enthalpy at 0 K, eV per atom: -0.1510
Symmetry: Ibam (72)

POSCAR file:
```
Rb3ZnBi2
1.0
-4.1196 7.2211 5.4020
4.1196 -7.2211 5.4020
4.1196 7.2211 -5.4020
Rb Zn Bi
6 2 4
Direct
0.0434 0.7500 0.2934 Rb
0.2500 0.2500 0.0000 Rb
0.4566 0.7500 0.7066 Rb
0.5434 0.2500 0.2934 Rb
0.7500 0.7500 0.0000 Rb
0.9566 0.2500 0.7066 Rb
0.0000 0.5000 0.5000 Zn
0.5000 0.0000 0.5000 Zn
0.1122 0.2439 0.3561 Bi
0.3878 0.7439 0.1317 Bi
0.6122 0.2561 0.8683 Bi
0.8878 0.7561 0.6439 Bi
```



# 7
Material: SiAsHSe2
Method: DFT, PBE-GGA
State: relaxed

Calculated values
Energy, eV/f.u.: -15.91
Symmetry: P4/mmm (123)

POSCAR file:
```
SiAsHSe2
1.0
4.8893 0.0000 0.0000
0.0000 4.8893 0.0000
0.0000 0.0000 4.7718
Si As H Se
1 1 1 2
Direct
0.0000 0.0000 0.0000 Si
0.0000 0.0000 0.5000 As
0.5000 0.5000 0.5000 H
0.0000 0.5000 0.0000 Se
0.5000 0.0000 0.0000 Se
```



# 8
Material: NaPaP
Method: DFT, PBE-GGA
State: relaxed

Calculated values
Formation enthalpy at 0 K, eV per atom: -0.0088
Symmetry: Amm2 (38)

POSCAR file:
```
NaPaP
1.0
15.2883 0.0000 0.0000
0.0000 1.6608 2.8767
0.0000 -1.6608 2.8767
Na Pa P
2 2 2
Direct
0.1442 0.0000 0.0000 Na
0.8558 0.0000 0.0000 Na
0.3708 0.3298 0.3298 Pa
0.6292 0.3298 0.3298 Pa
0.0000 0.3333 0.3333 P
0.5000 0.9965 0.9965 P
```



# 9
Material: KCa2Te
Method: DFT, PBE-GGA
State: relaxed

Calculated values
Raw formation energy, eV/atom: -0.584
Symmetry: Cmmm (65)

POSCAR file:
```
KCa2Te
1.0
2.7814 -2.8055 0.0000
2.7814 2.8055 0.0000
0.0000 0.0000 10.7272
K Ca Te
1 2 1
Direct
0.0000 0.0000 0.0000 K
0.5000 0.5000 0.3291 Ca
0.5000 0.5000 0.6709 Ca
0.0000 0.0000 0.5000 Te
```



# 10
Material: SmVSb3
Method: DFT, PBE-GGA
State: relaxed

Calculated values
Raw formation energy, eV/atom: -0.304
Symmetry: Pbcm (57)

POSCAR file:
```
SmVSb3
1.0
10.9060 0.0000 0.0000
0.0000 7.4352 0.0000
0.0000 0.0000 6.0196
Sm V Sb
4 4 12
Direct
0.1584 0.0848 0.2500 Sm
0.1584 0.4152 0.7500 Sm
0.8416 0.5848 0.2500 Sm
0.8416 0.9152 0.7500 Sm
0.3561 0.7500 0.0000 V
0.3561 0.7500 0.5000 V
0.6439 0.2500 0.0000 V
0.6439 0.2500 0.5000 V
0.0816 0.7500 0.0000 Sb
0.0816 0.7500 0.5000 Sb
0.2665 0.0370 0.7500 Sb
0.2665 0.4630 0.2500 Sb
0.4451 0.0987 0.2500 Sb
0.4451 0.4013 0.7500 Sb
0.5549 0.5987 0.2500 Sb
0.5549 0.9013 0.7500 Sb
0.7335 0.5370 0.7500 Sb
0.7335 0.9630 0.2500 Sb
0.9184 0.2500 0.0000 Sb
0.9184 0.2500 0.5000 Sb
```



# 11
Material: Sn3Pt
Method: DFT, PBE-GGA
State: relaxed

Calculated values
Formation enthalpy at 0 K, eV per atom: -0.2434
Symmetry: I4/mmm (139)

POSCAR file:
```
Sn3Pt
1.0
-1.9637 1.9637 6.5110
1.9637 -1.9637 6.5110
1.9637 1.9637 -6.5110
Sn Pt
3 1
Direct
0.0000 0.0000 0.0000 Sn
0.2965 0.2965 0.0000 Sn
0.7035 0.7035 0.0000 Sn
0.5000 0.5000 0.0000 Pt
```



# 12
Material: DyTmCoI
Method: DFT, PBE-GGA
State: relaxed

Calculated values
Raw formation energy, eV/atom: -0.561
Symmetry: R3m (160)

POSCAR file:
```
DyTmCoI
1.0
1.9651 1.1345 7.8201
-1.9651 1.1345 7.8201
0.0000 -2.2691 7.8201
Dy Tm Co I
1 1 1 1
Direct
0.0000 0.0000 0.0000 Dy
0.2154 0.2154 0.2154 Tm
0.6071 0.6071 0.6071 Co
0.7761 0.7761 0.7761 I
```